Below is a geometry-optimized Zr2CrIn2 structure, with properties calculated at the PBE level.

```
10
Lattice="7.208 0.000 0.000 0.000 7.208 0.000 0.000 0.000 4.055" Properties=species:S:1:pos:R:3 pbc="T T T"
Zr 1.234 2.371 0.000
Zr 2.371 5.975 0.000
Zr 4.838 1.234 0.000
Zr 5.975 4.838 0.000
Cr 0.000 0.000 2.027
Cr 3.604 3.604 2.027
In 0.991 4.595 2.027
In 2.614 0.991 2.027
In 4.595 6.218 2.027
In 6.218 2.614 2.027
```

Output
Volume   21.1 Å³/atom
Space group   No. 127
VASP energy   -6.234 eV/atom
Calculated formation energy   1.03 eV per formula unit